# SrSi2Os, optimized geometry, DFT GGA-PBE
# ΔE_f (raw) in eV/atom: -0.311
# D(E_F) in states/eV per atom: 0.559
data_SrSi2Os
_space_group_name_H-M_alt 'R 3 m'
_space_group_IT_number 160
_space_group_name_Hall 'R 3 -2"'
_cell_length_a 4.1526
_cell_length_b 4.1526
_cell_length_c 17.0730
_cell_angle_alpha 90.00
_cell_angle_beta 90.00
_cell_angle_gamma 120.00
loop_
_atom_site_label
_atom_site_fract_x
_atom_site_fract_y
_atom_site_fract_z
Sr1 0.0000 0.0000 0.0000
Si1 0.0000 0.0000 0.5423
Si2 0.0000 0.0000 0.8073
Os1 0.0000 0.0000 0.1845